Material: RuPtSe
Method: DFT, meta-GGA SCAN
State: single point on PBEsol structure

Computed properties:
- SG = No. 107
- magnetic moment (μB/cell) = 0.00
- formation energy (no corrections) (meV per atom) = 248

Unit cell a=2.880 b=2.880 c=5.931 alpha=104.05 beta=104.05 gamma=90.00
Sites, in units of the cell vectors:
Pt 0.011 0.011 0.022
Se 0.310 0.310 0.620
Ru 0.679 0.679 0.358

=====

Material: Ru2PtSe
Method: DFT, meta-GGA SCAN
State: single point on PBEsol structure

Computed properties:
- SG = No. 47
- magnetic moment (μB/cell) = 0.00
- formation energy (no corrections) (meV per atom) = 537

Unit cell a=2.771 b=4.581 c=4.641 alpha=90.00 beta=90.00 gamma=90.00
Sites, in units of the cell vectors:
Ru 0.000 0.000 0.000
Ru 0.500 0.000 0.500
Pt 0.000 0.500 0.500
Se 0.500 0.500 0.000

=====

Material: Ru2PtSe
Method: DFT, meta-GGA SCAN
State: single point on PBEsol structure

Computed properties:
- SG = No. 65
- magnetic moment (μB/cell) = 0.00
- formation energy (no corrections) (meV per atom) = 336

Unit cell a=2.848 b=4.535 c=4.535 alpha=100.36 beta=90.00 gamma=90.00
Sites, in units of the cell vectors:
Ru 0.000 0.500 0.000
Ru 0.000 0.000 0.500
Se 0.500 0.000 0.000
Pt 0.500 0.500 0.500

=====

Material: RuPtSe3
Method: DFT, meta-GGA SCAN
State: single point on PBEsol structure

Computed properties:
- SG = No. 221
- magnetic moment (μB/cell) = 0.00
- formation energy (no corrections) (meV per atom) = 982

Unit cell a=4.704 b=4.704 c=4.704 alpha=90.00 beta=90.00 gamma=90.00
Sites, in units of the cell vectors:
Se 0.500 0.000 0.000
Se 0.000 0.000 0.500
Se 0.000 0.500 0.000
Pt 0.500 0.500 0.500
Ru 0.000 0.000 0.000

=====

Material: Si2RuPtSe
Method: DFT, meta-GGA SCAN
State: single point on PBEsol structure

Computed properties:
- SG = No. 123
- magnetic moment (μB/cell) = 1.96
- formation energy (no corrections) (meV per atom) = 1527

Unit cell a=4.581 b=4.575 c=4.575 alpha=90.00 beta=90.00 gamma=90.00
Sites, in units of the cell vectors:
Si 0.000 0.500 0.000
Si 0.000 0.000 0.500
Ru 0.500 0.500 0.500
Se 0.000 0.000 0.000
Pt 0.500 0.000 0.000

=====

Material: Si3RuPt
Method: DFT, meta-GGA SCAN
State: single point on PBEsol structure

Computed properties:
- SG = No. 221
- magnetic moment (μB/cell) = 0.00
- formation energy (no corrections) (meV per atom) = 490

Unit cell a=4.496 b=4.496 c=4.496 alpha=90.00 beta=90.00 gamma=90.00
Sites, in units of the cell vectors:
Si 0.000 0.000 0.500
Si 0.000 0.500 0.000
Si 0.500 0.000 0.000
Ru 0.000 0.000 0.000
Pt 0.500 0.500 0.500

=====

Material: SiRu2Pt
Method: DFT, meta-GGA SCAN
State: single point on PBEsol structure

Computed properties:
- SG = No. 44
- magnetic moment (μB/cell) = 0.00
- formation energy (no corrections) (meV per atom) = -272

Unit cell a=2.934 b=4.267 c=5.023 alpha=115.14 beta=106.98 gamma=90.00
Sites, in units of the cell vectors:
Si 0.499 0.499 0.998
Ru 0.780 0.280 0.560
Ru 0.002 0.002 0.004
Pt 0.219 0.719 0.438

=====

Material: SiRu2Pt
Method: DFT, meta-GGA SCAN
State: single point on PBEsol structure

Computed properties:
- SG = No. 99
- magnetic moment (μB/cell) = 0.00
- formation energy (no corrections) (meV per atom) = -230

Unit cell a=2.753 b=2.753 c=7.074 alpha=90.00 beta=90.00 gamma=90.00
Sites, in units of the cell vectors:
Ru 0.000 0.000 0.018
Ru 0.500 0.500 0.264
Si 0.000 0.000 0.493
Pt 0.500 0.500 0.725

=====

Calculated final energy, -41.45, -39.44, -39.64, -32.07, -27.50, -26.52, -37.74, -37.70 eV/atom (same order as the records).